Here is ErOsW after structural relaxation from the Alexandria database. Energies are from PBE.

a = 8.4087 Å, b = 8.4087 Å, c = 3.1702 Å
α = 90.00°, β = 90.00°, γ = 148.86°
With the nearest neighbours (Å) after each atom.
Sites, in units of the cell vectors:
Er1 0.1002 0.8998 0.7500  4 Os 2.81, 1 W 2.93
Er2 0.8998 0.1002 0.2500  4 Os 2.81, 1 W 2.93
Os1 0.4336 0.5664 0.7500  1 W 2.47, 2 Os 2.67
Os2 0.5664 0.4336 0.2500  1 W 2.47, 2 Os 2.67
W1 0.2808 0.7192 0.7500  1 Os 2.47
W2 0.7192 0.2808 0.2500  1 Os 2.47

Calculated values
space-group type	No. 63
ΔE_f	188	meV per atom

---

Here is YErOs after structural relaxation from the Alexandria database. Energies are from PBE.

a = 4.7998 Å, b = 4.7998 Å, c = 6.6874 Å
α = 90.00°, β = 90.00°, γ = 90.00°
With the nearest neighbours (Å) after each atom.
Sites, in units of the cell vectors:
Y1 0.0000 0.5000 0.0000  4 Os 2.92
Y2 0.5000 0.0000 0.5000  4 Os 2.92
Er1 0.0000 0.5000 0.5000  4 Os 2.92
Er2 0.5000 0.0000 0.0000  4 Os 2.92
Os1 0.0000 0.0000 0.2500  4 Er 2.92, 4 Y 2.92
Os2 0.0000 0.0000 0.7500  4 Er 2.92, 4 Y 2.92

Calculated values
space-group type	No. 131
energy relative to the lowest polymorph listed for this composition	178	meV per atom
ΔE_f	-65	meV per atom

---

> What is the formula in the second record?

YErOs